Record 1
A relaxed RbNa3Se crystal. Source: Alexandria via LeMat-Bulk, functional GGA-PBE.

Cell: 6.1885 6.1885 6.1885 Å, 90.00 90.00 90.00°
With the nearest neighbours (Å) after each atom.
Element x y z (fractional)
Na: 0.0000 0.5000 0.0000  2 Rb 3.09
Rb: 0.0000 0.0000 0.0000  6 Na 3.09
Se: 0.5000 0.5000 0.5000  12 Na 4.38
Na: 0.5000 0.0000 0.0000  2 Rb 3.09
Na: 0.0000 0.0000 0.5000  2 Rb 3.09

Values from the calculation:
Raw formation energy = 0.45 eV per atom
Space-group type = Pm-3m (221)
V = 237.00 Å³/cell
Energy above the lowest structure with this stoichiometry = 0.918 eV per atom
Total magnetization = 0.000 μB per formula unit
Total DFT energy (no corrections) = -0.0904 Ry per atom
Calculated density = 1.6 g/cm³


Record 2
A relaxed Rb2Na2Se crystal. Source: Alexandria via LeMat-Bulk, functional GGA-PBE.

Cell: 8.6854 8.6854 6.9706 Å, 90.00 90.00 90.00°
With the nearest neighbours (Å) after each atom.
Element x y z (fractional)
Na: 0.6487 0.8513 0.5000  1 Na 3.65
Rb: 0.3365 0.8365 0.0000  2 Se 3.25
Se: 0.0000 0.0000 0.0000  4 Rb 3.25
Rb: 0.1635 0.3365 0.0000  2 Se 3.25
Se: 0.5000 0.5000 0.0000  4 Rb 3.25
Na: 0.3513 0.1487 0.5000  1 Na 3.65
Na: 0.1487 0.6487 0.5000  1 Na 3.65
Rb: 0.6635 0.1635 0.0000  2 Se 3.25
Na: 0.8513 0.3513 0.5000  1 Na 3.65
Rb: 0.8365 0.6635 0.0000  2 Se 3.25

Values from the calculation:
Raw formation energy = -0.30 eV per atom
Space-group type = P4/mbm (127)
V = 525.84 Å³/cell
Energy above the lowest structure with this stoichiometry = 0.102 eV per atom
Total magnetization = 0.000 μB per formula unit
Total DFT energy (no corrections) = -0.1405 Ry per atom
Calculated density = 1.9 g/cm³


Record 3
A relaxed RbNa3Se crystal. Source: Alexandria via LeMat-Bulk, functional GGA-PBE.

Cell: 5.8763 5.8763 5.8763 Å, 90.00 90.00 90.00°
With the nearest neighbours (Å) after each atom.
Element x y z (fractional)
Na: 0.0000 0.5000 0.0000  2 Se 2.94
Se: 0.0000 0.0000 0.0000  6 Na 2.94
Na: 0.5000 0.0000 0.0000  2 Se 2.94
Rb: 0.5000 0.5000 0.5000  12 Na 4.16
Na: 0.0000 0.0000 0.5000  2 Se 2.94

Values from the calculation:
Raw formation energy = -0.47 eV per atom
Space-group type = Pm-3m (221)
V = 202.92 Å³/cell
Energy above the lowest structure with this stoichiometry = 0.000 eV per atom
Total magnetization = 0.000 μB per formula unit
Total DFT energy (no corrections) = -0.1579 Ry per atom
Calculated density = 1.9 g/cm³


Record 4
A relaxed RbNaSe2 crystal. Source: Alexandria via LeMat-Bulk, functional GGA-PBE.

Cell: 5.4445 5.4445 10.2644 Å, 74.62 74.62 90.00°
With the nearest neighbours (Å) after each atom.
Element x y z (fractional)
Rb: 0.0000 0.0000 0.0000  4 Se 3.63, 4 Na 3.85
Se: 0.3121 0.6250 0.2500  2 Na 2.76, 2 Se 2.81
Na: 0.2500 0.7500 0.5000  4 Se 2.76
Se: 0.8750 0.6879 0.7500  2 Na 2.76, 2 Se 2.81
Se: 0.3750 0.5621 0.7500  2 Na 2.76, 2 Se 2.81
Rb: 0.7500 0.2500 0.5000  4 Se 3.63, 4 Na 3.85
Se: 0.4379 0.1250 0.2500  2 Na 2.76, 2 Se 2.81
Na: 0.5000 0.5000 0.0000  4 Se 2.76

Values from the calculation:
Raw formation energy = -0.78 eV per atom
Space-group type = I-42d (122)
V = 282.05 Å³/cell
Energy above the lowest structure with this stoichiometry = 0.016 eV per atom
Total magnetization = 0.000 μB per formula unit
Total DFT energy (no corrections) = -0.2271 Ry per atom
Calculated density = 3.1 g/cm³


Record 5
A relaxed RbNaSe3 crystal. Source: Alexandria via LeMat-Bulk, functional GGA-PBE.

Cell: 5.4435 5.4435 5.4435 Å, 90.00 90.00 90.00°
With the nearest neighbours (Å) after each atom.
Element x y z (fractional)
Rb: 0.5000 0.5000 0.5000  12 Se 3.85
Na: 0.0000 0.0000 0.0000  6 Se 2.72
Se: 0.0000 0.0000 0.5000  2 Na 2.72
Se: 0.0000 0.5000 0.0000  2 Na 2.72
Se: 0.5000 0.0000 0.0000  2 Na 2.72

Values from the calculation:
Raw formation energy = -0.06 eV per atom
Space-group type = Pm-3m (221)
V = 161.30 Å³/cell
Energy above the lowest structure with this stoichiometry = 0.000 eV per atom
Total magnetization = 2.022 μB per formula unit
Total DFT energy (no corrections) = -0.1914 Ry per atom
Calculated density = 3.6 g/cm³


Record 6
A relaxed RbNa2Se2 crystal. Source: Alexandria via LeMat-Bulk, functional GGA-PBE.

Cell: 8.7896 8.7896 3.3830 Å, 90.00 90.00 90.00°
With the nearest neighbours (Å) after each atom.
Element x y z (fractional)
Na: 0.3772 0.8772 0.0000  3 Na 3.05-3.38, 6 Se 3.06-3.13
Rb: 0.5000 0.5000 0.0000  2 Rb 3.38, 4 Na 3.49, 8 Se 3.67
Se: 0.8275 0.3275 0.5000  6 Na 3.06-3.13, 2 Se 3.38
Rb: 0.0000 0.0000 0.0000  2 Rb 3.38, 4 Na 3.49, 8 Se 3.67
Na: 0.1228 0.3772 0.0000  3 Na 3.05-3.38, 6 Se 3.06-3.13
Se: 0.6725 0.8275 0.5000  6 Na 3.06-3.13, 2 Se 3.38
Se: 0.1725 0.6725 0.5000  6 Na 3.06-3.13, 2 Se 3.38
Na: 0.6228 0.1228 0.0000  3 Na 3.05-3.38, 6 Se 3.06-3.13
Na: 0.8772 0.6228 0.0000  3 Na 3.05-3.38, 6 Se 3.06-3.13
Se: 0.3275 0.1725 0.5000  6 Na 3.06-3.13, 2 Se 3.38

Values from the calculation:
Raw formation energy = -0.90 eV per atom
Space-group type = P4/mbm (127)
V = 261.36 Å³/cell
Energy above the lowest structure with this stoichiometry = 0.062 eV per atom
Total magnetization = 0.000 μB per formula unit
Total DFT energy (no corrections) = -0.2215 Ry per atom
Calculated density = 3.7 g/cm³